Density functional theory data (PBE) for an optimized crystal structure of LaCeAu.

Cell lengths 5.149, 5.149, 5.149 Å; angles 60.00, 60.00, 60.00 degrees
Each line ends with the local moment (μB).
Positions (direct):
Au (0.250, 0.250, 0.250)  0.04
Ce (0.500, 0.500, 0.500)  0.98
La (0.000, 0.000, 0.000)  0.19

Energy of formation = -0.255 eV/atom
DOS(E_F) = 3.641 states/eV/atom



Density functional theory data (PBE) for an optimized crystal structure of La2CeAu.

Cell lengths 3.762, 3.762, 8.269 Å; angles 90.00, 90.00, 90.00 degrees
Positions (direct):
Au (0.500, 0.500, 0.000)
Ce (0.500, 0.500, 0.500)
La (0.000, 0.000, 0.775)
La (0.000, 0.000, 0.225)

Energy of formation = -0.341 eV/atom
DOS(E_F) = 1.382 states/eV/atom



Density functional theory data (PBE) for an optimized crystal structure of LaCeAu.

Cell lengths 4.644, 4.329, 8.484 Å; angles 90.00, 88.33, 90.00 degrees
Each line ends with the local moment (μB).
Positions (direct):
La (0.986, 0.993, 0.519)  0.01
La (0.475, 0.493, 0.239)  0.01
Ce (0.544, 0.993, 0.864)  0.26
Ce (0.917, 0.493, 0.893)  0.26
Au (0.006, 0.993, 0.151)  0.00
Au (0.455, 0.493, 0.607)  0.00

Energy of formation = -0.477 eV/atom
DOS(E_F) = 1.963 states/eV/atom



Density functional theory data (PBE) for an optimized crystal structure of LaCe2Au3.

Cell lengths 3.708, 3.708, 11.266 Å; angles 90.00, 90.00, 90.00 degrees
Each line ends with the local moment (μB).
Positions (direct):
La (0.500, 0.500, 0.500)  0.03
Ce (0.500, 0.500, 0.837)  0.85
Ce (0.500, 0.500, 0.163)  0.85
Au (0.000, 0.000, 0.000)  0.00
Au (0.000, 0.000, 0.674)  0.00
Au (0.000, 0.000, 0.326)  0.00

Energy of formation = -0.653 eV/atom
DOS(E_F) = 2.633 states/eV/atom



Density functional theory data (PBE) for an optimized crystal structure of LaCeAu4.

Cell lengths 3.893, 3.892, 9.387 Å; angles 90.03, 90.03, 90.00 degrees
Each line ends with the local moment (μB).
Positions (direct):
La (0.000, 0.000, 0.000)  0.01
Ce (0.500, 0.500, 0.500)  0.75
Au (0.500, 0.500, 0.170)  0.01
Au (0.500, 0.500, 0.830)  0.01
Au (0.000, 0.000, 0.664)  0.00
Au (0.000, 0.000, 0.336)  0.00

Energy of formation = -0.717 eV/atom
DOS(E_F) = 1.542 states/eV/atom



Density functional theory data (PBE) for an optimized crystal structure of LaCeAu4.

Cell lengths 4.069, 4.069, 9.628 Å; angles 102.20, 102.20, 90.00 degrees
Each line ends with the local moment (μB).
Positions (direct):
La (0.250, 0.750, 0.500)  0.00
Ce (0.000, 0.000, 0.000)  0.92
Au (0.674, 0.174, 0.349)  0.00
Au (0.575, 0.575, 0.149)  0.00
Au (0.826, 0.326, 0.651)  0.00
Au (0.425, 0.425, 0.851)  0.00

Energy of formation = -0.677 eV/atom
DOS(E_F) = 1.650 states/eV/atom



Density functional theory data (PBE) for an optimized crystal structure of LaCeAu.

Cell lengths 3.887, 4.875, 4.875 Å; angles 120.00, 90.00, 90.00 degrees
Each line ends with the local moment (μB).
Positions (direct):
Au (0.306, 0.333, 0.667)  0.00
Ce (0.016, 0.000, 0.000)  0.29
La (0.677, 0.667, 0.333)  0.01

Energy of formation = -0.355 eV/atom
DOS(E_F) = 1.639 states/eV/atom



Density functional theory data (PBE) for an optimized crystal structure of LaCe5Au6.

Cell lengths 5.317, 7.439, 8.790 Å; angles 64.96, 72.71, 90.01 degrees
Each line ends with the local moment (μB).
Positions (direct):
Au (0.916, 0.577, 0.332)  0.00
Au (0.916, 0.091, 0.332)  0.00
Au (0.500, 0.734, 0.000)  0.00
Au (0.500, 0.266, 0.000)  0.00
Au (0.084, 0.909, 0.668)  0.00
Au (0.084, 0.423, 0.668)  0.00
Ce (0.609, 0.173, 0.654)  0.79
Ce (0.389, 0.321, 0.357)  0.75
Ce (0.000, 0.500, 0.000)  0.71
Ce (0.611, 0.679, 0.643)  0.75
Ce (0.391, 0.827, 0.346)  0.79
La (0.000, 0.000, 0.000)  0.07

Energy of formation = -0.625 eV/atom
DOS(E_F) = 2.409 states/eV/atom



Density functional theory data (PBE) for an optimized crystal structure of La2CeAu6.

Cell lengths 3.633, 8.316, 8.316 Å; angles 120.00, 90.00, 90.00 degrees
Each line ends with the local moment (μB).
Positions (direct):
La (0.000, 0.333, 0.667)  0.02
La (0.000, 0.667, 0.333)  0.02
Ce (0.000, 0.000, 0.000)  0.86
Au (0.500, 0.332, 0.332)  0.01
Au (0.500, 0.668, 0.668)  0.01
Au (0.500, 0.000, 0.668)  0.01
Au (0.500, 0.668, 0.000)  0.01
Au (0.500, 0.332, 0.000)  0.01
Au (0.500, 0.000, 0.332)  0.01

Energy of formation = -0.762 eV/atom
DOS(E_F) = 1.485 states/eV/atom



Density functional theory data (PBE) for an optimized crystal structure of LaCe3Au7.

Cell lengths 3.854, 11.723, 12.604 Å; angles 90.00, 90.00, 99.46 degrees
Each line ends with the local moment (μB).
Positions (direct):
La (0.993, 0.986, 0.250)  0.02
La (0.007, 0.014, 0.750)  0.02
Ce (0.145, 0.290, 0.435)  0.79
Ce (0.855, 0.710, 0.565)  0.79
Ce (0.193, 0.385, 0.750)  0.83
Ce (0.807, 0.615, 0.250)  0.83
Ce (0.145, 0.290, 0.065)  0.79
Ce (0.855, 0.710, 0.935)  0.79
Au (0.382, 0.764, 0.750)  0.00
Au (0.618, 0.236, 0.250)  0.00
Au (0.542, 0.084, 0.428)  0.00
Au (0.458, 0.916, 0.572)  0.00
Au (0.458, 0.916, 0.928)  0.00
Au (0.542, 0.084, 0.072)  0.00
Au (0.398, 0.797, 0.365)  0.00
Au (0.602, 0.203, 0.635)  0.00
Au (0.278, 0.555, 0.432)  0.01
Au (0.722, 0.445, 0.568)  0.01
Au (0.722, 0.445, 0.932)  0.01
Au (0.278, 0.555, 0.068)  0.01
Au (0.398, 0.797, 0.135)  0.00
Au (0.602, 0.203, 0.865)  0.00

Energy of formation = -0.629 eV/atom
DOS(E_F) = 2.027 states/eV/atom



Density functional theory data (PBE) for an optimized crystal structure of LaCeAu.

Cell lengths 3.809, 3.809, 6.470 Å; angles 107.12, 107.12, 90.00 degrees
Each line ends with the local moment (μB).
Positions (direct):
Au (0.275, 0.275, 0.550)  0.00
Ce (0.639, 0.639, 0.278)  -0.71
La (0.936, 0.936, 0.872)  -0.08

Energy of formation = -0.398 eV/atom
DOS(E_F) = 2.337 states/eV/atom



Density functional theory data (PBE) for an optimized crystal structure of La2CeAu3.

Cell lengths 3.730, 5.331, 16.001 Å; angles 90.00, 90.00, 90.00 degrees
Each line ends with the local moment (μB).
Positions (direct):
La (0.997, 0.000, 0.667)  0.02
La (0.997, 0.000, 0.333)  0.02
La (0.003, 0.500, 0.167)  0.02
La (0.003, 0.500, 0.833)  0.02
Ce (0.998, 0.500, 0.500)  0.86
Ce (0.002, 0.000, 0.000)  0.86
Au (0.498, 0.500, 0.662)  0.00
Au (0.496, 0.000, 0.500)  0.00
Au (0.498, 0.500, 0.338)  0.00
Au (0.502, 0.000, 0.162)  0.00
Au (0.504, 0.500, 0.000)  0.00
Au (0.502, 0.000, 0.838)  0.00

Energy of formation = -0.713 eV/atom
DOS(E_F) = 1.846 states/eV/atom



Density functional theory data (PBE) for an optimized crystal structure of La2CeAu.

Cell lengths 3.817, 3.817, 10.462 Å; angles 79.49, 79.49, 60.00 degrees
Each line ends with the local moment (μB).
Positions (direct):
La (0.072, 0.072, 0.783)  0.04
La (0.262, 0.262, 0.215)  0.08
Ce (0.499, 0.499, 0.502)  0.98
Au (0.667, 0.667, 0.999)  0.00

Energy of formation = -0.193 eV/atom
DOS(E_F) = 1.722 states/eV/atom



Density functional theory data (PBE) for an optimized crystal structure of LaCeAu3.

Cell lengths 3.774, 4.685, 14.468 Å; angles 90.00, 97.49, 90.00 degrees
Each line ends with the local moment (μB).
Positions (direct):
La (0.927, 0.750, 0.854)  0.01
La (0.073, 0.250, 0.146)  0.01
Ce (0.205, 0.750, 0.411)  0.75
Ce (0.795, 0.250, 0.589)  0.75
Au (0.622, 0.750, 0.243)  0.00
Au (0.378, 0.250, 0.757)  0.00
Au (0.525, 0.750, 0.050)  0.00
Au (0.475, 0.250, 0.950)  0.00
Au (0.684, 0.250, 0.367)  0.01
Au (0.316, 0.750, 0.633)  0.01

Energy of formation = -0.747 eV/atom
DOS(E_F) = 1.574 states/eV/atom



Density functional theory data (PBE) for an optimized crystal structure of LaCe2Au6.

Cell lengths 3.767, 8.605, 8.605 Å; angles 53.89, 77.36, 77.36 degrees
Each line ends with the local moment (μB).
Positions (direct):
La (0.500, 0.500, 0.500)  0.01
Ce (0.359, 0.141, 0.141)  0.69
Ce (0.641, 0.859, 0.859)  0.69
Au (0.177, 0.509, 0.136)  0.00
Au (0.823, 0.491, 0.864)  0.00
Au (0.823, 0.864, 0.491)  0.00
Au (0.000, 0.182, 0.818)  0.00
Au (0.000, 0.818, 0.182)  0.00
Au (0.177, 0.136, 0.509)  0.00

Energy of formation = -0.664 eV/atom
DOS(E_F) = 1.730 states/eV/atom



Density functional theory data (PBE) for an optimized crystal structure of LiLaCeAu.

Cell lengths 5.294, 5.294, 5.294 Å; angles 60.00, 60.00, 60.00 degrees
Each line ends with the local moment (μB).
Positions (direct):
Li (0.500, 0.500, 0.500)  0.01
Au (0.000, 0.000, 0.000)  0.01
Ce (0.750, 0.750, 0.750)  0.88
La (0.250, 0.250, 0.250)  0.10

Energy of formation = -0.229 eV/atom
DOS(E_F) = 2.603 states/eV/atom



Density functional theory data (PBE) for an optimized crystal structure of LiLaCe2Au4.

Cell lengths 5.146, 5.146, 8.992 Å; angles 73.37, 73.37, 60.00 degrees
Each line ends with the local moment (μB).
Positions (direct):
Li (0.500, 0.500, 0.500)  0.00
La (0.000, 0.000, 0.000)  0.03
Ce (0.760, 0.760, 0.720)  0.80
Ce (0.240, 0.240, 0.280)  0.80
Au (0.385, 0.385, 0.846)  0.00
Au (0.878, 0.878, 0.365)  0.00
Au (0.122, 0.122, 0.635)  0.00
Au (0.615, 0.615, 0.154)  0.00

Energy of formation = -0.616 eV/atom
DOS(E_F) = 2.151 states/eV/atom



Density functional theory data (PBE) for an optimized crystal structure of LaCeMgAu.

Cell lengths 5.390, 5.390, 5.390 Å; angles 60.00, 60.00, 60.00 degrees
Each line ends with the local moment (μB).
Positions (direct):
Mg (0.750, 0.750, 0.750)  0.00
Au (0.250, 0.250, 0.250)  0.02
Ce (0.500, 0.500, 0.500)  0.90
La (0.000, 0.000, 0.000)  0.12

Energy of formation = -0.260 eV/atom
DOS(E_F) = 2.758 states/eV/atom



Density functional theory data (PBE) for an optimized crystal structure of LaCe2AuN.

Cell lengths 4.822, 4.822, 5.113 Å; angles 90.00, 90.00, 90.00 degrees
Each line ends with the local moment (μB).
Positions (direct):
La (0.000, 0.000, 0.500)  0.06
Ce (0.000, 0.500, 0.000)  0.61
Ce (0.500, 0.000, 0.000)  0.61
Au (0.500, 0.500, 0.500)  0.02
N (0.000, 0.000, 0.000)  -0.04

Final energy = -32.267 eV per cell
DOS(E_F) = 2.362 states/eV/atom



Density functional theory data (PBE) for an optimized crystal structure of LaCeNiAu.

Cell lengths 5.143, 5.143, 5.143 Å; angles 60.00, 60.00, 60.00 degrees
Each line ends with the local moment (μB).
Positions (direct):
Ni (0.750, 0.750, 0.750)  -0.04
Au (0.250, 0.250, 0.250)  0.01
Ce (0.000, 0.000, 0.000)  0.73
La (0.500, 0.500, 0.500)  0.05

Energy of formation = -0.389 eV/atom
DOS(E_F) = 2.215 states/eV/atom



Density functional theory data (PBE) for an optimized crystal structure of LaCe2Si2Au2.

Cell lengths 4.369, 4.369, 9.833 Å; angles 77.16, 77.16, 60.00 degrees
Each line ends with the local moment (μB).
Positions (direct):
La (0.000, 0.000, 0.000)  -0.01
Ce (0.142, 0.142, 0.574)  0.69
Ce (0.858, 0.858, 0.426)  0.69
Si (0.745, 0.745, 0.766)  -0.01
Si (0.255, 0.255, 0.234)  -0.01
Au (0.594, 0.594, 0.219)  -0.01
Au (0.406, 0.406, 0.781)  -0.01

Final energy = -38.815 eV per cell
DOS(E_F) = 1.270 states/eV/atom



Density functional theory data (PBE) for an optimized crystal structure of LaCe2Sn2Au2.

Cell lengths 4.749, 4.749, 9.739 Å; angles 75.89, 75.89, 60.00 degrees
Each line ends with the local moment (μB).
Positions (direct):
La (0.000, 0.000, 0.000)  0.03
Ce (0.143, 0.143, 0.571)  0.87
Ce (0.857, 0.857, 0.429)  0.87
Sn (0.734, 0.734, 0.797)  -0.01
Sn (0.266, 0.266, 0.203)  -0.01
Au (0.569, 0.569, 0.294)  0.00
Au (0.431, 0.431, 0.706)  0.00

Energy of formation = -0.622 eV/atom
DOS(E_F) = 1.982 states/eV/atom



Density functional theory data (PBE) for an optimized crystal structure of LaCeTlAu.

Cell lengths 5.449, 5.449, 5.449 Å; angles 60.00, 60.00, 60.00 degrees
Each line ends with the local moment (μB).
Positions (direct):
Tl (0.500, 0.500, 0.500)  0.00
Au (0.000, 0.000, 0.000)  0.01
Ce (0.750, 0.750, 0.750)  0.95
La (0.250, 0.250, 0.250)  0.13

Energy of formation = -0.443 eV/atom
DOS(E_F) = 2.765 states/eV/atom



Density functional theory data (PBE) for an optimized crystal structure of LaCeTlAu.

Cell lengths 3.729, 3.729, 8.156 Å; angles 90.00, 90.00, 90.00 degrees
Each line ends with the local moment (μB).
Positions (direct):
La (0.000, 0.000, 0.836)  -0.06
Ce (0.000, 0.000, 0.380)  0.91
Tl (0.500, 0.500, 0.114)  -0.01
Au (0.500, 0.500, 0.598)  0.00

Energy of formation = -0.498 eV/atom
DOS(E_F) = 2.312 states/eV/atom



Density functional theory data (PBE) for an optimized crystal structure of Li2Ce3Au9.

Cell lengths 4.183, 10.693, 8.840 Å; angles 127.22, 103.69, 90.00 degrees
Each line ends with the local moment (μB).
Positions (direct):
Li (0.500, 0.310, 0.000)  0.01
Li (0.500, 0.690, 0.000)  0.01
Ce (0.000, 0.000, 0.000)  0.89
Ce (0.291, 0.291, 0.583)  0.87
Ce (0.709, 0.709, 0.417)  0.87
Au (0.000, 0.500, 0.000)  0.01
Au (0.353, 0.984, 0.707)  0.00
Au (0.647, 0.016, 0.293)  0.00
Au (0.353, 0.723, 0.707)  0.00
Au (0.647, 0.277, 0.293)  0.00
Au (0.135, 0.833, 0.271)  0.01
Au (0.865, 0.167, 0.729)  0.01
Au (0.135, 0.438, 0.271)  0.01
Au (0.865, 0.562, 0.729)  0.01

Energy of formation = -0.553 eV/atom
DOS(E_F) = 1.788 states/eV/atom